A relaxed structure of Sb2OsPd2, computed with PBE.

It has space group P4/mbm (No. 127), with a = 7.320 Å, b = 7.320 Å, c = 3.440 Å, α = 90.00°, β = 90.00° and γ = 90.00°. Symmetry generates all atoms from Sb at (0.179, 0.321, 0.000), Os at (0.000, 0.000, 0.500) and Pd at (0.129, 0.629, 0.500).

As for the total energy: -5.658 eV per atom. The crystal system is tetragonal. The offset from the most stable computed form comes out at 0 meV per atom.

---

A relaxed structure of SbOs2PdSe, computed with PBE.

It has space group P4/mmm (No. 123), with a = 4.915 Å, b = 4.915 Å, c = 4.912 Å, α = 90.00°, β = 90.00° and γ = 90.00°. Symmetry generates all atoms from Sb at (0.000, 0.000, 0.000), Os at (0.000, 0.500, 0.500), Pd at (0.000, 0.000, 0.500) and Se at (0.500, 0.500, 0.000).

As for the total energy: -4.984 eV per atom. The crystal system is tetragonal.

---

A relaxed structure of Sb2TeOsPd, computed with PBE.

It has space group P4/mmm (No. 123), with a = 5.003 Å, b = 5.003 Å, c = 5.531 Å, α = 90.00°, β = 90.00° and γ = 90.00°. Symmetry generates all atoms from Sb at (0.000, 0.500, 0.000), Te at (0.000, 0.000, 0.500), Os at (0.000, 0.000, 0.000) and Pd at (0.500, 0.500, 0.500).

As for the total energy: -4.744 eV per atom. The crystal system is tetragonal. The offset from the most stable computed form comes out at 0 meV per atom.